Computed, not measured: a relaxed SmCCl crystal at the PBE level of DFT.

```
SmCCl
1.0
4.466 0.000 0.000
0.000 3.649 0.000
-2.233 -1.824 7.712
Cl C Sm
2 2 2
Direct
0.685 0.185 0.370
0.315 0.815 0.630
0.642 0.500 0.000
0.358 0.500 0.000
0.118 0.618 0.236
0.882 0.382 0.764
```

Results
The symmetry is Immm. The value obtained for the theoretical density is 5.227 g/cm³. The value obtained for the uncorrected formation energy is -0.793 eV per atom.